No. 1
VASP calculation (PBE) on an optimized crystal structure of Ba2Sr4Zn.

a b c (Å): 6.191 6.191 11.428
angles (deg): 74.28 74.28 90.00
Fractional coordinates of all 7 atoms:
Ba 0.347 0.347 0.307
Ba 0.653 0.653 0.693
Sr 0.000 0.500 0.000
Sr 0.149 0.149 0.703
Sr 0.500 0.000 0.000
Sr 0.851 0.851 0.297
Zn 0.000 0.000 0.000

Energy of formation from the pure elements = 110 meV/atom
Symmetry = I4/mmm, No. 139
Crystal system = tetragonal

---

No. 2
VASP calculation (PBE) on an optimized crystal structure of YScSn2.

a b c (Å): 4.225 5.989 8.186
angles (deg): 90.00 90.00 90.00
Fractional coordinates of all 8 atoms:
Y 0.000 0.123 0.684
Y 0.000 0.877 0.184
Sc 0.500 0.622 0.816
Sc 0.500 0.378 0.316
Sn 0.000 0.411 0.045
Sn 0.500 0.086 0.955
Sn 0.500 0.914 0.455
Sn 0.000 0.589 0.545

Energy of formation from the pure elements = -641 meV/atom
Symmetry = Pmc2_1, No. 26
Crystal system = orthorhombic

---

No. 3
VASP calculation (PBE) on an optimized crystal structure of TlTeN2.

a b c (Å): 8.013 8.013 8.013
angles (deg): 23.64 23.64 23.64
Fractional coordinates of all 4 atoms:
N 0.119 0.119 0.119
N 0.881 0.881 0.881
Tl 0.000 0.000 0.000
Te 0.500 0.500 0.500

E = -18.33 eV for the cell shown
Symmetry = R-3m, No. 166
Crystal system = trigonal

---

No. 4
VASP calculation (PBE) on an optimized crystal structure of Pr3SnB2Pt9.

a b c (Å): 5.874 5.874 9.487
angles (deg): 90.00 90.00 120.00
Fractional coordinates of all 15 atoms:
Pt 0.500 0.500 0.000
Pt 0.168 0.832 0.278
Pt 0.335 0.168 0.722
Pt 0.500 0.000 0.000
Pt 0.000 0.500 0.000
Pt 0.665 0.832 0.278
Pt 0.832 0.168 0.722
Pt 0.168 0.335 0.278
Pt 0.832 0.665 0.722
Pr 0.333 0.667 0.619
Pr 0.000 0.000 0.000
Pr 0.667 0.333 0.381
Sn 0.000 0.000 0.500
B 0.333 0.667 0.143
B 0.667 0.333 0.857

Energy of formation from the pure elements = -766 meV/atom
Symmetry = P-3m1, No. 164
Crystal system = trigonal